# 1
# SiCl | the Alexandria database | PBEsol | relaxed
# ΔE_f (raw) = -75 meV/atom
# uncorrected energy = -3.9524 eV per atom
data_SiCl
_chemical_formula_sum 'Si4 Cl4'
_cell_length_a 3.9453
_cell_length_b 10.2742
_cell_length_c 4.9036
_cell_angle_alpha 90.00
_cell_angle_beta 90.00
_cell_angle_gamma 90.00
_space_group_name_H-M_alt 'C m c m'
_space_group_IT_number 63
_space_group_name_Hall '-C 2c 2'
loop_
_atom_site_label
_atom_site_fract_x
_atom_site_fract_y
_atom_site_fract_z
Si1 0.0000 0.0071 0.2500
Cl1 0.0000 0.3797 0.2500

---

# 2
# TmMg2 | the Alexandria database | PBEsol | relaxed
# formation energy from the elements = -0.04 eV/atom
# uncorrected energy = -2.8200 eV per atom
data_TmMg2
_chemical_formula_sum 'Tm1 Mg2'
_cell_length_a 5.1612
_cell_length_b 5.1612
_cell_length_c 3.1948
_cell_angle_alpha 90.00
_cell_angle_beta 90.00
_cell_angle_gamma 120.00
_space_group_name_H-M_alt 'P 6/m m m'
_space_group_IT_number 191
_space_group_name_Hall '-P 6 2'
loop_
_atom_site_label
_atom_site_fract_x
_atom_site_fract_y
_atom_site_fract_z
Tm1 0.0000 0.0000 0.0000
Mg1 0.3333 0.6667 0.5000

---

Repeat the second record exactly.
# TmMg2 | the Alexandria database | PBEsol | relaxed
# formation energy from the elements = -0.04 eV/atom
# uncorrected energy = -2.8200 eV per atom
data_TmMg2
_chemical_formula_sum 'Tm1 Mg2'
_cell_length_a 5.1612
_cell_length_b 5.1612
_cell_length_c 3.1948
_cell_angle_alpha 90.00
_cell_angle_beta 90.00
_cell_angle_gamma 120.00
_space_group_name_H-M_alt 'P 6/m m m'
_space_group_IT_number 191
_space_group_name_Hall '-P 6 2'
loop_
_atom_site_label
_atom_site_fract_x
_atom_site_fract_y
_atom_site_fract_z
Tm1 0.0000 0.0000 0.0000
Mg1 0.3333 0.6667 0.5000

---

Which formula does entry 1 have?
SiCl

---

Repeat the second record exactly.
# TmMg2 | the Alexandria database | PBEsol | relaxed
# formation energy from the elements = -0.04 eV/atom
# uncorrected energy = -2.8200 eV per atom
data_TmMg2
_chemical_formula_sum 'Tm1 Mg2'
_cell_length_a 5.1612
_cell_length_b 5.1612
_cell_length_c 3.1948
_cell_angle_alpha 90.00
_cell_angle_beta 90.00
_cell_angle_gamma 120.00
_space_group_name_H-M_alt 'P 6/m m m'
_space_group_IT_number 191
_space_group_name_Hall '-P 6 2'
loop_
_atom_site_label
_atom_site_fract_x
_atom_site_fract_y
_atom_site_fract_z
Tm1 0.0000 0.0000 0.0000
Mg1 0.3333 0.6667 0.5000

---

What did the second record say?
# TmMg2 | the Alexandria database | PBEsol | relaxed
# formation energy from the elements = -0.04 eV/atom
# uncorrected energy = -2.8200 eV per atom
data_TmMg2
_chemical_formula_sum 'Tm1 Mg2'
_cell_length_a 5.1612
_cell_length_b 5.1612
_cell_length_c 3.1948
_cell_angle_alpha 90.00
_cell_angle_beta 90.00
_cell_angle_gamma 120.00
_space_group_name_H-M_alt 'P 6/m m m'
_space_group_IT_number 191
_space_group_name_Hall '-P 6 2'
loop_
_atom_site_label
_atom_site_fract_x
_atom_site_fract_y
_atom_site_fract_z
Tm1 0.0000 0.0000 0.0000
Mg1 0.3333 0.6667 0.5000